The following is a GGA-PBE calculation of crystalline Be2CuPt at its relaxed geometry, from Alexandria.

Calculated total energy = -4.84 eV per atom
Offset from the most stable computed form = 33 meV/atom
Space-group type = P4/mmm
Fermi-level density of states = 0.327 states/eV per atom
Formation energy from the elements = -0.44 eV per atom

abc: 3.9882 3.9882 2.7295
angles: 90.00 90.00 90.00
Sites, in units of the cell vectors:
1 Be 0.0000 0.5000 0.0000
2 Be 0.5000 0.0000 0.0000
3 Cu 0.0000 0.0000 0.5000
4 Pt 0.5000 0.5000 0.5000

=====

The following is a GGA-PBE calculation of crystalline Pu2Be4CuPt3 at its relaxed geometry, from Alexandria.

Calculated total energy = -7.11 eV per atom
Space-group type = P-4m2
Fermi-level density of states = 2.423 states/eV per atom
Formation energy from the elements = -0.53 eV per atom

abc: 3.9940 3.9940 9.5987
angles: 90.00 90.00 90.00
Sites, in units of the cell vectors:
1 Pu 0.0000 0.5000 0.2498
2 Pu 0.5000 0.0000 0.7502
3 Be 0.0000 0.0000 0.0000
4 Be 0.0000 0.5000 0.6220
5 Be 0.5000 0.0000 0.3780
6 Be 0.5000 0.5000 0.0000
7 Cu 0.0000 0.0000 0.5000
8 Pt 0.0000 0.5000 0.8706
9 Pt 0.5000 0.0000 0.1294
10 Pt 0.5000 0.5000 0.5000

=====

The following is a GGA-PBE calculation of crystalline RbBeCuPt2 at its relaxed geometry, from Alexandria.

Calculated total energy = -3.97 eV per atom
Space-group type = P4/mmm
Fermi-level density of states = 0.209 states/eV per atom
Formation energy from the elements = 0.21 eV per atom

abc: 4.4198 4.4198 4.6583
angles: 90.00 90.00 90.00
Sites, in units of the cell vectors:
1 Rb 0.0000 0.0000 0.0000
2 Be 0.5000 0.5000 0.5000
3 Cu 0.5000 0.5000 0.0000
4 Pt 0.0000 0.5000 0.5000
5 Pt 0.5000 0.0000 0.5000

=====

The following is a GGA-PBE calculation of crystalline BeCuPtRh at its relaxed geometry, from Alexandria.

Calculated total energy = -5.60 eV per atom
Space-group type = F-43m
Fermi-level density of states = 1.156 states/eV per atom
Formation energy from the elements = -0.29 eV per atom

abc: 4.1328 4.1328 4.1328
angles: 60.00 60.00 60.00
Sites, in units of the cell vectors:
1 Be 0.0000 0.0000 0.0000
2 Cu 0.5000 0.5000 0.5000
3 Pt 0.7500 0.7500 0.7500
4 Rh 0.2500 0.2500 0.2500

=====

The following is a GGA-PBE calculation of crystalline Sc2Be2CuPt5 at its relaxed geometry, from Alexandria.

Calculated total energy = -6.37 eV per atom
Space-group type = P4/mbm
Fermi-level density of states = 0.294 states/eV per atom
Formation energy from the elements = -0.93 eV per atom

abc: 9.2149 9.2149 3.4233
angles: 90.00 90.00 90.00
Sites, in units of the cell vectors:
1 Sc 0.1762 0.3238 0.0000
2 Sc 0.3238 0.8238 0.0000
3 Sc 0.6762 0.1762 0.0000
4 Sc 0.8238 0.6762 0.0000
5 Be 0.1239 0.6239 0.0000
6 Be 0.3761 0.1239 0.0000
7 Be 0.6239 0.8761 0.0000
8 Be 0.8761 0.3761 0.0000
9 Cu 0.0000 0.0000 0.0000
10 Cu 0.5000 0.5000 0.0000
11 Pt 0.0000 0.5000 0.5000
12 Pt 0.0709 0.7919 0.5000
13 Pt 0.2081 0.0709 0.5000
14 Pt 0.2919 0.5709 0.5000
15 Pt 0.4291 0.2919 0.5000
16 Pt 0.5000 0.0000 0.5000
17 Pt 0.5709 0.7081 0.5000
18 Pt 0.7081 0.4291 0.5000
19 Pt 0.7919 0.9291 0.5000
20 Pt 0.9291 0.2081 0.5000

=====

The following is a GGA-PBE calculation of crystalline ScBeCuPt at its relaxed geometry, from Alexandria.

Calculated total energy = -5.55 eV per atom
Space-group type = F-43m
Fermi-level density of states = 0.743 states/eV per atom
Formation energy from the elements = -0.50 eV per atom

abc: 4.3395 4.3395 4.3395
angles: 60.00 60.00 60.00
Sites, in units of the cell vectors:
1 Sc 0.0000 0.0000 0.0000
2 Be 0.5000 0.5000 0.5000
3 Cu 0.2500 0.2500 0.2500
4 Pt 0.7500 0.7500 0.7500

=====

The following is a GGA-PBE calculation of crystalline Sc2BeCuPt2 at its relaxed geometry, from Alexandria.

Calculated total energy = -6.25 eV per atom
Space-group type = Ibam
Fermi-level density of states = 0.604 states/eV per atom
Formation energy from the elements = -0.82 eV per atom

abc: 7.6588 7.6588 7.6588
angles: 137.95 60.15 139.04
Sites, in units of the cell vectors:
1 Sc 0.1703 0.2066 0.3769
2 Sc 0.3297 0.7066 0.0362
3 Sc 0.6703 0.2934 0.9638
4 Sc 0.8297 0.7934 0.6231
5 Be 0.2500 0.7500 0.5000
6 Be 0.7500 0.2500 0.5000
7 Cu 0.2500 0.2500 0.0000
8 Cu 0.7500 0.7500 0.0000
9 Pt 0.1212 0.6980 0.8192
10 Pt 0.3788 0.1980 0.5768
11 Pt 0.6212 0.8020 0.4232
12 Pt 0.8788 0.3020 0.1808

=====

The following is a GGA-PBE calculation of crystalline Sm2Be3CuPt12 at its relaxed geometry, from Alexandria.

Calculated total energy = -5.77 eV per atom
Space-group type = R-3m
Fermi-level density of states = 0.314 states/eV per atom
Formation energy from the elements = -0.36 eV per atom

abc: 7.4945 7.4945 7.4945
angles: 64.39 64.39 64.39
Sites, in units of the cell vectors:
1 Sm 0.1106 0.1106 0.1106
2 Sm 0.8894 0.8894 0.8894
3 Be 0.0000 0.5000 0.5000
4 Be 0.5000 0.0000 0.5000
5 Be 0.5000 0.5000 0.0000
6 Cu 0.5000 0.5000 0.5000
7 Pt 0.1190 0.6298 0.6298
8 Pt 0.1480 0.1480 0.6018
9 Pt 0.1480 0.6018 0.1480
10 Pt 0.3702 0.3702 0.8810
11 Pt 0.3702 0.8810 0.3702
12 Pt 0.3982 0.8520 0.8520
13 Pt 0.6018 0.1480 0.1480
14 Pt 0.6298 0.1190 0.6298
15 Pt 0.6298 0.6298 0.1190
16 Pt 0.8520 0.3982 0.8520
17 Pt 0.8520 0.8520 0.3982
18 Pt 0.8810 0.3702 0.3702

=====

The following is a GGA-PBE calculation of crystalline Sm2Be4CuPt3 at its relaxed geometry, from Alexandria.

Calculated total energy = -5.36 eV per atom
Space-group type = P-4m2
Fermi-level density of states = 0.541 states/eV per atom
Formation energy from the elements = -0.70 eV per atom

abc: 4.0461 4.0461 9.5206
angles: 90.00 90.00 90.00
Sites, in units of the cell vectors:
1 Sm 0.0000 0.5000 0.2504
2 Sm 0.5000 0.0000 0.7496
3 Be 0.0000 0.0000 0.0000
4 Be 0.0000 0.5000 0.6212
5 Be 0.5000 0.0000 0.3788
6 Be 0.5000 0.5000 0.0000
7 Cu 0.0000 0.0000 0.5000
8 Pt 0.0000 0.5000 0.8747
9 Pt 0.5000 0.0000 0.1253
10 Pt 0.5000 0.5000 0.5000

=====

The following is a GGA-PBE calculation of crystalline Sm2Be3Cu12Pt at its relaxed geometry, from Alexandria.

Calculated total energy = -3.90 eV per atom
Space-group type = R-3m
Fermi-level density of states = 0.454 states/eV per atom
Formation energy from the elements = 0.31 eV per atom

abc: 7.3444 7.3444 7.3444
angles: 62.03 62.03 62.03
Sites, in units of the cell vectors:
1 Sm 0.1034 0.1034 0.1034
2 Sm 0.8966 0.8966 0.8966
3 Be 0.0000 0.5000 0.5000
4 Be 0.5000 0.0000 0.5000
5 Be 0.5000 0.5000 0.0000
6 Cu 0.1005 0.6274 0.6274
7 Cu 0.1656 0.1656 0.6045
8 Cu 0.1656 0.6045 0.1656
9 Cu 0.3726 0.3726 0.8995
10 Cu 0.3726 0.8995 0.3726
11 Cu 0.3955 0.8344 0.8344
12 Cu 0.6045 0.1656 0.1656
13 Cu 0.6274 0.1005 0.6274
14 Cu 0.6274 0.6274 0.1005
15 Cu 0.8344 0.3955 0.8344
16 Cu 0.8344 0.8344 0.3955
17 Cu 0.8995 0.3726 0.3726
18 Pt 0.5000 0.5000 0.5000

=====

The following is a GGA-PBE calculation of crystalline TaBeCuPt at its relaxed geometry, from Alexandria.

Calculated total energy = -6.69 eV per atom
Space-group type = F-43m
Fermi-level density of states = 0.298 states/eV per atom
Formation energy from the elements = -0.26 eV per atom

abc: 4.2991 4.2991 4.2991
angles: 60.00 60.00 60.00
Sites, in units of the cell vectors:
1 Ta 0.0000 0.0000 0.0000
2 Be 0.5000 0.5000 0.5000
3 Cu 0.2500 0.2500 0.2500
4 Pt 0.7500 0.7500 0.7500

=====

The following is a GGA-PBE calculation of crystalline Tb2BeCuPt6 at its relaxed geometry, from Alexandria.

Calculated total energy = -6.08 eV per atom
Space-group type = R-3m
Fermi-level density of states = 0.608 states/eV per atom
Formation energy from the elements = -0.75 eV per atom

abc: 7.6603 7.6603 7.6603
angles: 42.49 42.49 42.49
Sites, in units of the cell vectors:
1 Tb 0.2050 0.2050 0.2050
2 Tb 0.7950 0.7950 0.7950
3 Be 0.0000 0.0000 0.0000
4 Cu 0.5000 0.5000 0.5000
5 Pt 0.2415 0.2415 0.7351
6 Pt 0.2415 0.7351 0.2415
7 Pt 0.2649 0.7585 0.7585
8 Pt 0.7351 0.2415 0.2415
9 Pt 0.7585 0.2649 0.7585
10 Pt 0.7585 0.7585 0.2649

=====

The following is a GGA-PBE calculation of crystalline TbBe2CuPt5 at its relaxed geometry, from Alexandria.

Calculated total energy = -5.74 eV per atom
Space-group type = P4/mmm
Fermi-level density of states = 0.273 states/eV per atom
Formation energy from the elements = -0.58 eV per atom

abc: 4.3632 4.3632 7.1115
angles: 90.00 90.00 90.00
Sites, in units of the cell vectors:
1 Tb 0.0000 0.0000 0.0000
2 Be 0.5000 0.5000 0.3418
3 Be 0.5000 0.5000 0.6582
4 Cu 0.0000 0.0000 0.5000
5 Pt 0.0000 0.5000 0.2848
6 Pt 0.0000 0.5000 0.7152
7 Pt 0.5000 0.0000 0.2848
8 Pt 0.5000 0.0000 0.7152
9 Pt 0.5000 0.5000 0.0000

=====

The following is a GGA-PBE calculation of crystalline Tb2Be4CuPt3 at its relaxed geometry, from Alexandria.

Calculated total energy = -5.37 eV per atom
Space-group type = P-4m2
Fermi-level density of states = 0.485 states/eV per atom
Formation energy from the elements = -0.73 eV per atom

abc: 4.0064 4.0064 9.4636
angles: 90.00 90.00 90.00
Sites, in units of the cell vectors:
1 Tb 0.0000 0.5000 0.2493
2 Tb 0.5000 0.0000 0.7507
3 Be 0.0000 0.0000 0.5000
4 Be 0.0000 0.5000 0.8777
5 Be 0.5000 0.0000 0.1223
6 Be 0.5000 0.5000 0.5000
7 Cu 0.5000 0.5000 0.0000
8 Pt 0.0000 0.0000 0.0000
9 Pt 0.0000 0.5000 0.6285
10 Pt 0.5000 0.0000 0.3715

=====

The following is a GGA-PBE calculation of crystalline BeCuTcPt2 at its relaxed geometry, from Alexandria.

Calculated total energy = -5.70 eV per atom
Space-group type = P4/mmm
Fermi-level density of states = 1.022 states/eV per atom
Formation energy from the elements = 0.36 eV per atom

abc: 4.2020 4.2020 4.1011
angles: 90.00 90.00 90.00
Sites, in units of the cell vectors:
1 Be 0.0000 0.0000 0.0000
2 Cu 0.0000 0.0000 0.5000
3 Tc 0.5000 0.5000 0.5000
4 Pt 0.0000 0.5000 0.0000
5 Pt 0.5000 0.0000 0.0000

=====

The following is a GGA-PBE calculation of crystalline Th2Be4CuPt3 at its relaxed geometry, from Alexandria.

Calculated total energy = -5.89 eV per atom
Space-group type = P-4m2
Fermi-level density of states = 0.663 states/eV per atom
Formation energy from the elements = -0.69 eV per atom

abc: 4.1230 4.1230 9.4080
angles: 90.00 90.00 90.00
Sites, in units of the cell vectors:
1 Th 0.0000 0.5000 0.2487
2 Th 0.5000 0.0000 0.7513
3 Be 0.0000 0.0000 0.0000
4 Be 0.0000 0.5000 0.6197
5 Be 0.5000 0.0000 0.3803
6 Be 0.5000 0.5000 0.0000
7 Cu 0.0000 0.0000 0.5000
8 Pt 0.0000 0.5000 0.8746
9 Pt 0.5000 0.0000 0.1254
10 Pt 0.5000 0.5000 0.5000

=====

The following is a GGA-PBE calculation of crystalline Th2Be3CuPt12 at its relaxed geometry, from Alexandria.

Calculated total energy = -6.21 eV per atom
Space-group type = R-3m
Fermi-level density of states = 0.388 states/eV per atom
Formation energy from the elements = -0.51 eV per atom

abc: 7.5874 7.5874 7.5874
angles: 63.17 63.17 63.17
Sites, in units of the cell vectors:
1 Th 0.1156 0.1156 0.1156
2 Th 0.8844 0.8844 0.8844
3 Be 0.0000 0.5000 0.5000
4 Be 0.5000 0.0000 0.5000
5 Be 0.5000 0.5000 0.0000
6 Cu 0.5000 0.5000 0.5000
7 Pt 0.1171 0.6296 0.6296
8 Pt 0.1426 0.1426 0.6066
9 Pt 0.1426 0.6066 0.1426
10 Pt 0.3704 0.3704 0.8829
11 Pt 0.3704 0.8829 0.3704
12 Pt 0.3934 0.8574 0.8574
13 Pt 0.6066 0.1426 0.1426
14 Pt 0.6296 0.1171 0.6296
15 Pt 0.6296 0.6296 0.1171
16 Pt 0.8574 0.3934 0.8574
17 Pt 0.8574 0.8574 0.3934
18 Pt 0.8829 0.3704 0.3704

=====

The following is a GGA-PBE calculation of crystalline Tm2Be4CuPt3 at its relaxed geometry, from Alexandria.

Calculated total energy = -5.36 eV per atom
Space-group type = P-4m2
Fermi-level density of states = 0.423 states/eV per atom
Formation energy from the elements = -0.75 eV per atom

abc: 3.9574 3.9574 9.4531
angles: 90.00 90.00 90.00
Sites, in units of the cell vectors:
1 Tm 0.0000 0.5000 0.2489
2 Tm 0.5000 0.0000 0.7511
3 Be 0.0000 0.0000 0.5000
4 Be 0.0000 0.5000 0.8766
5 Be 0.5000 0.0000 0.1234
6 Be 0.5000 0.5000 0.5000
7 Cu 0.5000 0.5000 0.0000
8 Pt 0.0000 0.0000 0.0000
9 Pt 0.0000 0.5000 0.6316
10 Pt 0.5000 0.0000 0.3684

=====

The following is a GGA-PBE calculation of crystalline BeVCuPt at its relaxed geometry, from Alexandria.

Calculated total energy = -6.00 eV per atom
Space-group type = F-43m
Fermi-level density of states = 0.725 states/eV per atom
Formation energy from the elements = -0.26 eV per atom

abc: 4.1445 4.1445 4.1445
angles: 60.00 60.00 60.00
Sites, in units of the cell vectors:
1 Be 0.0000 0.0000 0.0000
2 V 0.5000 0.5000 0.5000
3 Cu 0.7500 0.7500 0.7500
4 Pt 0.2500 0.2500 0.2500

=====

The following is a GGA-PBE calculation of crystalline YBe4CuPt2 at its relaxed geometry, from Alexandria.

Calculated total energy = -5.23 eV per atom
Space-group type = R-3m
Fermi-level density of states = 0.551 states/eV per atom
Formation energy from the elements = -0.54 eV per atom

abc: 8.3254 8.3254 8.3254
angles: 27.21 27.21 27.21
Sites, in units of the cell vectors:
1 Y 0.0000 0.0000 0.0000
2 Be 0.1318 0.1318 0.1318
3 Be 0.4085 0.4085 0.4085
4 Be 0.5915 0.5915 0.5915
5 Be 0.8682 0.8682 0.8682
6 Cu 0.5000 0.5000 0.5000
7 Pt 0.2346 0.2346 0.2346
8 Pt 0.7654 0.7654 0.7654

=====

The following is a GGA-PBE calculation of crystalline Y2BeCuPt6 at its relaxed geometry, from Alexandria.

Calculated total energy = -6.44 eV per atom
Space-group type = R-3m
Fermi-level density of states = 0.596 states/eV per atom
Formation energy from the elements = -0.74 eV per atom

abc: 7.6597 7.6597 7.6597
angles: 42.47 42.47 42.47
Sites, in units of the cell vectors:
1 Y 0.2049 0.2049 0.2049
2 Y 0.7951 0.7951 0.7951
3 Be 0.0000 0.0000 0.0000
4 Cu 0.5000 0.5000 0.5000
5 Pt 0.2415 0.2415 0.7349
6 Pt 0.2415 0.7349 0.2415
7 Pt 0.2651 0.7585 0.7585
8 Pt 0.7349 0.2415 0.2415
9 Pt 0.7585 0.2651 0.7585
10 Pt 0.7585 0.7585 0.2651

=====

The following is a GGA-PBE calculation of crystalline Y2Be3Cu12Pt at its relaxed geometry, from Alexandria.

Calculated total energy = -4.08 eV per atom
Space-group type = R-3m
Fermi-level density of states = 0.434 states/eV per atom
Formation energy from the elements = 0.32 eV per atom

abc: 7.2698 7.2698 7.2698
angles: 62.72 62.72 62.72
Sites, in units of the cell vectors:
1 Y 0.1008 0.1008 0.1008
2 Y 0.8992 0.8992 0.8992
3 Be 0.0000 0.5000 0.5000
4 Be 0.5000 0.0000 0.5000
5 Be 0.5000 0.5000 0.0000
6 Cu 0.0983 0.6313 0.6313
7 Cu 0.1659 0.1659 0.6066
8 Cu 0.1659 0.6066 0.1659
9 Cu 0.3687 0.3687 0.9017
10 Cu 0.3687 0.9017 0.3687
11 Cu 0.3934 0.8341 0.8341
12 Cu 0.6066 0.1659 0.1659
13 Cu 0.6313 0.0983 0.6313
14 Cu 0.6313 0.6313 0.0983
15 Cu 0.8341 0.3934 0.8341
16 Cu 0.8341 0.8341 0.3934
17 Cu 0.9017 0.3687 0.3687
18 Pt 0.5000 0.5000 0.5000

=====

no.,mass density (g/cm³)
1,10.6
2,12.7
3,10.0
4,12.3
5,13.1
6,9.0
7,9.4
8,13.9
9,10.5
10,7.3
11,13.3
12,14.0
13,14.9
14,11.0
15,12.9
16,11.9
17,14.5
18,11.5
19,10.5
20,9.0
21,12.7
22,6.7